Below is a relaxed BaPtSeN2 crystal, with properties calculated at the PBE level.

Lattice parameters (Å, degrees): 4.4725 4.4725 6.6165 90.00 90.00 90.00
Element x y z (fractional)
Ba 0.0000 0.0000 0.0000
Pt 0.5000 0.5000 0.5000
Se 0.0000 0.0000 0.5000
N 0.0000 0.5000 0.0000
N 0.5000 0.0000 0.0000

Summary:
E = -0.26142 Ry/atom
Magnetization = 3.50 μB/f.u.
ρ = 5.5 Mg/m³
SG = P4/mmm
Energy relative to the lowest polymorph listed for this composition = 7.94 eV/f.u.
Formation energy from raw total energies = 2.063 eV/atom